1.
Here is an optimized crystal structure of Ag2C from Alexandria via LeMat-Bulk. Energies are from PBE.

Its magnetic moment is 0.00 μB/f.u. As for the energy: -3.93 eV/atom. The energy relative to the lowest polymorph listed for this composition comes out at 0.422 eV per atom. As for the energy relative to the elements: 1.05 eV/atom.

a = 6.6823 Å, b = 6.6823 Å, c = 8.9443 Å
α = 90.00°, β = 90.00°, γ = 120.00°
Space group P6_3/mmc (No. 194)
One atom of each set of equivalent atoms:
Ag (0.0000, 0.0000, 0.0000) x2
Ag (0.1425, 0.2850, 0.2500) x6
C (0.3333, 0.6667, 0.1778) x4

2.
Here is an optimized crystal structure of MnTl2Mo from Alexandria via LeMat-Bulk. Energies are from PBE.

Its magnetic moment is 1.48 μB/f.u. As for the energy: -5.73 eV/atom. The energy relative to the lowest polymorph listed for this composition comes out at 0.000 eV per atom. As for the energy relative to the elements: 0.45 eV/atom.

a = 3.1302 Å, b = 3.1416 Å, c = 8.5004 Å
α = 90.00°, β = 100.55°, γ = 90.00°
Space group Pm (No. 6)
One atom of each set of equivalent atoms:
Mn (0.0000, 0.0000, 0.0000) x1
Tl (0.1987, 0.0000, 0.4020) x1
Tl (0.3771, 0.5000, 0.7516) x1
Mo (0.5721, 0.5000, 0.1445) x1

3.
Here is an optimized crystal structure of TbSm4Y2Mg from Alexandria via LeMat-Bulk. Energies are from PBE.

Its magnetic moment is 0.00 μB/f.u. As for the energy: -4.74 eV/atom. As for the energy relative to the elements: 0.01 eV/atom.

a = 5.0281 Å, b = 5.0281 Å, c = 10.0812 Å
α = 90.00°, β = 90.00°, γ = 90.00°
Space group P4/mmm (No. 123)
One atom of each set of equivalent atoms:
Tb (0.0000, 0.0000, 0.0000) x1
Sm (0.0000, 0.5000, 0.2535) x4
Y (0.0000, 0.0000, 0.5000) x1
Y (0.5000, 0.5000, 0.0000) x1
Mg (0.5000, 0.5000, 0.5000) x1